[1]
## Nb2HgBr6 (PBE-GGA)

Data for an optimized crystal structure of Nb2HgBr6.

Lattice parameters (Å, degrees): 3.436 8.838 9.947 75.15 84.65 79.06
Atoms (fractional coordinates):
Nb (0.191, 0.063, 0.104)
Nb (0.809, 0.937, 0.896)
Hg (0.000, 0.500, 0.500)
Br (0.044, 0.309, 0.203)
Br (0.305, 0.057, 0.693)
Br (0.344, 0.763, 0.080)
Br (0.656, 0.237, 0.920)
Br (0.695, 0.943, 0.307)
Br (0.956, 0.691, 0.797)

Calculated values
uncorrected formation energy = -717 meV/atom
SG = No. 2

=====

[2]
## Sr2BeMo (PBE-GGA)

Data for an optimized crystal structure of Sr2BeMo.

Lattice parameters (Å, degrees): 3.419 3.419 9.021 90.00 90.00 90.00
Atoms (fractional coordinates):
Sr (0.000, 0.000, 0.000)
Sr (0.500, 0.500, 0.407)
Be (0.000, 0.000, 0.677)
Mo (0.500, 0.500, 0.736)

Calculated values
formation energy = 2.34 eV per formula unit
SG = No. 99

=====

[3]
## CrFe2Tc (PBE-GGA)

Data for an optimized crystal structure of CrFe2Tc.

Lattice parameters (Å, degrees): 2.564 2.564 7.338 90.00 90.00 90.00
Atoms (fractional coordinates):
Cr (0.000, 0.000, 0.000)
Fe (0.000, 0.000, 0.460)
Fe (0.500, 0.500, 0.227)
Tc (0.500, 0.500, 0.720)

Calculated values
formation energy = 0.57 eV per formula unit
SG = No. 99

=====

[4]
## GdTmIrOs (PBE-GGA)

Data for an optimized crystal structure of GdTmIrOs.

Lattice parameters (Å, degrees): 4.819 4.819 4.819 60.00 60.00 60.00
Atoms (fractional coordinates):
Gd (0.000, 0.000, 0.000)
Tm (0.500, 0.500, 0.500)
Ir (0.250, 0.250, 0.250)
Os (0.750, 0.750, 0.750)

Calculated values
formation energy = -1.78 eV per formula unit
SG = No. 216

=====

[5]
## SrTeO4 (PBE-GGA)

Data for an optimized crystal structure of SrTeO4.

Lattice parameters (Å, degrees): 7.222 7.222 7.222 134.99 134.99 65.55
Atoms (fractional coordinates):
Sr (0.375, 0.125, 0.250)
Sr (0.625, 0.875, 0.750)
Te (0.125, 0.375, 0.750)
Te (0.875, 0.625, 0.250)
O (0.056, 0.218, 0.361)
O (0.196, 0.556, 0.338)
O (0.282, 0.142, 0.838)
O (0.358, 0.696, 0.139)
O (0.642, 0.304, 0.861)
O (0.718, 0.858, 0.162)
O (0.804, 0.444, 0.662)
O (0.944, 0.782, 0.639)

Calculated values
uncorrected formation energy = -1743 meV/atom
SG = No. 88

=====

[6]
## HoTmPd (PBE-GGA)

Data for an optimized crystal structure of HoTmPd.

Lattice parameters (Å, degrees): 6.538 6.538 6.538 148.83 148.83 44.66
Atoms (fractional coordinates):
Ho (0.000, 0.000, 0.000)
Tm (0.723, 0.723, 0.000)
Pd (0.358, 0.358, 0.000)

Calculated values
formation energy = -1.73 eV per formula unit
energy relative to the lowest polymorph listed for this composition = 9 meV per atom
SG = No. 107

=====

[7]
## Tl15SbPb4 (PBE-GGA)

Data for an optimized crystal structure of Tl15SbPb4.

Lattice parameters (Å, degrees): 4.947 4.947 25.240 90.00 90.00 90.00
Atoms (fractional coordinates):
Tl (0.000, 0.000, 0.000)
Tl (0.000, 0.000, 0.199)
Tl (0.000, 0.000, 0.401)
Tl (0.000, 0.000, 0.599)
Tl (0.000, 0.000, 0.801)
Tl (0.000, 0.500, 0.097)
Tl (0.000, 0.500, 0.300)
Tl (0.000, 0.500, 0.500)
Tl (0.000, 0.500, 0.700)
Tl (0.000, 0.500, 0.903)
Tl (0.500, 0.000, 0.097)
Tl (0.500, 0.000, 0.300)
Tl (0.500, 0.000, 0.500)
Tl (0.500, 0.000, 0.700)
Tl (0.500, 0.000, 0.903)
Sb (0.500, 0.500, 0.000)
Pb (0.500, 0.500, 0.200)
Pb (0.500, 0.500, 0.401)
Pb (0.500, 0.500, 0.599)
Pb (0.500, 0.500, 0.800)

Calculated values
uncorrected formation energy = 14 meV/atom
SG = No. 123

=====

[8]
## FeCu2BW (PBE-GGA)

Data for an optimized crystal structure of FeCu2BW.

Lattice parameters (Å, degrees): 4.293 4.293 3.676 90.00 90.00 90.00
Atoms (fractional coordinates):
Fe (0.000, 0.000, 0.000)
Cu (0.000, 0.500, 0.000)
Cu (0.500, 0.000, 0.000)
B (0.000, 0.000, 0.500)
W (0.500, 0.500, 0.500)

Calculated values
formation energy = 6.73 eV per formula unit
SG = No. 123

=====

[9]
## AcSm2Er5Tm (PBE-GGA)

Data for an optimized crystal structure of AcSm2Er5Tm.

Lattice parameters (Å, degrees): 9.864 9.864 9.864 126.69 126.69 78.76
Atoms (fractional coordinates):
Ac (0.250, 0.250, 0.000)
Ac (0.750, 0.750, 0.000)
Sm (0.115, 0.615, 0.731)
Sm (0.385, 0.115, 0.500)
Sm (0.615, 0.885, 0.500)
Sm (0.885, 0.385, 0.269)
Er (0.000, 0.000, 0.000)
Er (0.074, 0.163, 0.500)
Er (0.163, 0.663, 0.089)
Er (0.337, 0.426, 0.500)
Er (0.426, 0.926, 0.089)
Er (0.500, 0.500, 0.000)
Er (0.574, 0.074, 0.911)
Er (0.663, 0.574, 0.500)
Er (0.837, 0.337, 0.911)
Er (0.926, 0.837, 0.500)
Tm (0.250, 0.750, 0.500)
Tm (0.750, 0.250, 0.500)

Calculated values
formation energy = 2.44 eV per formula unit
SG = No. 140

=====

[10]
## NdGdYZn (PBE-GGA)

Data for an optimized crystal structure of NdGdYZn.

Lattice parameters (Å, degrees): 5.406 5.406 5.406 60.00 60.00 60.00
Atoms (fractional coordinates):
Nd (0.000, 0.000, 0.000)
Gd (0.750, 0.750, 0.750)
Y (0.500, 0.500, 0.500)
Zn (0.250, 0.250, 0.250)

Calculated values
formation energy = 0.16 eV per formula unit
SG = No. 216

=====

[11]
## LiInGaCl3 (PBE-GGA)

Data for an optimized crystal structure of LiInGaCl3.

Lattice parameters (Å, degrees): 7.093 7.218 7.971 88.35 68.04 65.36
Atoms (fractional coordinates):
Li (0.086, 0.066, 0.312)
Li (0.914, 0.934, 0.688)
In (0.378, 0.477, 0.320)
In (0.622, 0.523, 0.680)
Ga (0.181, 0.186, 0.837)
Ga (0.819, 0.814, 0.163)
Cl (0.027, 0.404, 0.256)
Cl (0.244, 0.801, 0.063)
Cl (0.267, 0.940, 0.515)
Cl (0.733, 0.060, 0.485)
Cl (0.756, 0.199, 0.937)
Cl (0.973, 0.596, 0.744)

Calculated values
uncorrected formation energy = -1084 meV/atom
SG = No. 2

=====

[12]
## PaCu2Os (PBE-GGA)

Data for an optimized crystal structure of PaCu2Os.

Lattice parameters (Å, degrees): 4.522 4.522 4.522 60.00 60.00 60.00
Atoms (fractional coordinates):
Pa (0.000, 0.000, 0.000)
Cu (0.250, 0.250, 0.250)
Cu (0.750, 0.750, 0.750)
Os (0.500, 0.500, 0.500)

Calculated values
formation energy = 0.68 eV per formula unit
SG = No. 225

=====

no.,M_tot (Bohr magnetons per cell),E (eV for the cell shown)
1,0.00,-36.9
2,0.00,-15.6
3,2.05,-36.3
4,7.04,-40.4
5,0.00,-70.2
6,0.00,-16.0
7,0.00,-54.2
8,2.96,-29.6
9,0.01,-76.8
10,7.81,-26.4
11,0.00,-39.4
12,0.00,-28.2